# 1
Computed, not measured: a relaxed BaSrHg2 crystal at the GGA-PBE level of DFT.

Structure (CIF):
```
data_BaSrHg2
_cell_length_a 4.8120
_cell_length_b 4.8120
_cell_length_c 6.9493
_cell_angle_alpha 90.00
_cell_angle_beta 90.00
_cell_angle_gamma 90.00
_symmetry_space_group_name_H-M 'P 4 m m'
_symmetry_Int_Tables_number 99
loop_
_symmetry_equiv_pos_as_xyz
'x,y,z'
'-y,x,z'
'-x,-y,z'
'y,-x,z'
'-x,y,z'
'y,x,z'
'x,-y,z'
'-y,-x,z'
loop_
_atom_site_label
_atom_site_fract_x
_atom_site_fract_y
_atom_site_fract_z
Ba1 0.0000 0.0000 0.0000
Sr1 0.5000 0.5000 0.5664
Hg1 0.0000 0.0000 0.4966
Hg2 0.5000 0.5000 0.0879
```

Computed properties:
For the energy of formation, the calculation gives -1.7 eV per formula unit. The density of states at the Fermi level is 3.19 states/eV/f.u.



# 2
Computed, not measured: a relaxed La2ZrS4 crystal at the GGA-PBE level of DFT.

Structure (CIF):
```
data_La2ZrS4
_cell_length_a 4.8533
_cell_length_b 4.8533
_cell_length_c 14.7590
_cell_angle_alpha 90.00
_cell_angle_beta 90.00
_cell_angle_gamma 90.00
_symmetry_space_group_name_H-M 'I 4/m m m'
_symmetry_Int_Tables_number 139
_symmetry_space_group_name_Hall '-I 4 2'
loop_
_atom_site_label
_atom_site_fract_x
_atom_site_fract_y
_atom_site_fract_z
La1 0.0000 0.0000 0.1360
Zr1 0.0000 0.0000 0.5000
S1 0.0000 0.0000 0.3209
S2 0.0000 0.5000 0.0000
```

Computed properties:
As for the formation energy (no corrections): -1.76 eV per atom. The density of states at the Fermi level is 4.29 states/eV/f.u.



# 3
Computed, not measured: a relaxed Mo4RhN crystal at the GGA-PBE level of DFT.

Structure (CIF):
```
data_Mo4RhN
_cell_length_a 7.4452
_cell_length_b 12.1596
_cell_length_c 4.9687
_cell_angle_alpha 90.00
_cell_angle_beta 130.42
_cell_angle_gamma 90.00
_symmetry_space_group_name_H-M 'C 1 2/c 1'
_symmetry_Int_Tables_number 15
loop_
_symmetry_equiv_pos_as_xyz
'x,y,z'
'-x,-y,-z'
'-x,y,-z+1/2'
'x,-y,z+1/2'
'x+1/2,y+1/2,z'
'-x+1/2,-y+1/2,-z'
'-x+1/2,y+1/2,-z+1/2'
'x+1/2,-y+1/2,z+1/2'
loop_
_atom_site_label
_atom_site_fract_x
_atom_site_fract_y
_atom_site_fract_z
Mo1 0.1376 0.0819 0.1414
Mo2 0.1721 0.3111 0.1781
Rh1 0.0000 0.4969 0.2500
N1 0.0000 0.2002 0.7500
```

Computed properties:
As for the formation energy (no corrections): 0.02 eV per atom. The density of states at the Fermi level is 4.58 states/eV/f.u.



# 4
Computed, not measured: a relaxed NdGa4Pd8 crystal at the GGA-PBE level of DFT.

Structure (CIF):
```
data_NdGa4Pd8
_cell_length_a 8.8994
_cell_length_b 8.8994
_cell_length_c 5.3857
_cell_angle_alpha 90.00
_cell_angle_beta 90.00
_cell_angle_gamma 90.00
_symmetry_space_group_name_H-M 'I 4/m m m'
_symmetry_Int_Tables_number 139
_symmetry_space_group_name_Hall '-I 4 2'
loop_
_atom_site_label
_atom_site_fract_x
_atom_site_fract_y
_atom_site_fract_z
Nd1 0.0000 0.0000 0.0000
Ga1 0.2500 0.2500 0.2500
Pd1 0.0000 0.2233 0.5000
Pd2 0.0000 0.3389 0.0000
```

Computed properties:
For the energy of formation, the calculation gives -8.5 eV per formula unit. The density of states at the Fermi level is 7.00 states/eV/f.u.



# 5
Computed, not measured: a relaxed BaLa2Ag crystal at the GGA-PBE level of DFT.

Structure (CIF):
```
data_BaLa2Ag
_cell_length_a 9.2560
_cell_length_b 9.2560
_cell_length_c 7.0583
_cell_angle_alpha 90.00
_cell_angle_beta 90.00
_cell_angle_gamma 90.00
_symmetry_space_group_name_H-M 'I -4 2 d'
_symmetry_Int_Tables_number 122
_symmetry_space_group_name_Hall 'I -4 2bw'
loop_
_atom_site_label
_atom_site_fract_x
_atom_site_fract_y
_atom_site_fract_z
Ba1 0.0000 0.0000 0.0000
La1 0.1958 0.7500 0.6250
Ag1 0.0000 0.0000 0.5000
```

Computed properties:
For the energy of formation, the calculation gives 0.4 eV per formula unit. The density of states at the Fermi level is 5.33 states/eV/f.u.



# 6
Computed, not measured: a relaxed Sm8In2Ir crystal at the GGA-PBE level of DFT.

Structure (CIF):
```
data_Sm8In2Ir
_cell_length_a 19.2464
_cell_length_b 5.2173
_cell_length_c 6.8633
_cell_angle_alpha 90.00
_cell_angle_beta 107.27
_cell_angle_gamma 90.00
_symmetry_space_group_name_H-M 'C 1 2/m 1'
_symmetry_Int_Tables_number 12
loop_
_symmetry_equiv_pos_as_xyz
'x,y,z'
'-x,-y,-z'
'-x,y,-z'
'x,-y,z'
'x+1/2,y+1/2,z'
'-x+1/2,-y+1/2,-z'
'-x+1/2,y+1/2,-z'
'x+1/2,-y+1/2,z'
loop_
_atom_site_label
_atom_site_fract_x
_atom_site_fract_y
_atom_site_fract_z
Sm1 0.0167 0.0000 0.2852
Sm2 0.0899 0.5000 0.9408
Sm3 0.1467 0.5000 0.4739
Sm4 0.2119 0.0000 0.8065
In1 0.1799 0.0000 0.2369
Ir1 0.0000 0.5000 0.5000
```

Computed properties:
For the energy of formation, the calculation gives -3.5 eV per formula unit. The density of states at the Fermi level is 11.48 states/eV/f.u.